No. 1
Here is an optimized crystal structure of Nd4Te3Cl from the Alexandria database. Energies are from GGA-PBE.

abc: 4.4354 4.4353 14.3999
angles: 81.14 81.14 60.00
With the nearest neighbours (Å) after each atom.
Fractional coordinates of all 8 atoms:
Nd (0.8760, 0.8760, 0.3719)  6 Te 3.14-3.21
Nd (0.1240, 0.1240, 0.6281)  6 Te 3.14-3.21
Nd (0.6326, 0.6326, 0.1023)  3 Cl 2.94, 3 Te 3.18
Nd (0.3674, 0.3674, 0.8977)  3 Cl 2.94, 3 Te 3.18
Te (0.7451, 0.7451, 0.7647)  6 Nd 3.18-3.21
Te (0.2549, 0.2549, 0.2353)  6 Nd 3.18-3.21
Te (0.5000, 0.5000, 0.5000)  6 Nd 3.14
Cl (0.0000, 0.0000, 0.0000)  6 Nd 2.94

Formation energy from raw total energies in meV/atom: -1381
Total moment in μB/f.u.: 0.0

No. 2
Here is an optimized crystal structure of Nd6Te5Cl from the Alexandria database. Energies are from GGA-PBE.

abc: 7.7076 7.8195 7.7026
angles: 59.50 80.71 71.46
With the nearest neighbours (Å) after each atom.
Fractional coordinates of all 12 atoms:
Nd (0.7388, 0.0902, 0.3468)  5 Te 3.11-3.18, 1 Cl 3.31
Nd (0.7575, 0.7297, 0.0000)  5 Te 3.07-3.18, 1 Cl 3.24
Nd (0.2612, 0.5630, 0.3468)  5 Te 3.11-3.18, 1 Cl 3.31
Nd (0.2612, 0.9098, 0.6532)  5 Te 3.11-3.18, 1 Cl 3.31
Nd (0.2425, 0.2703, 0.0000)  5 Te 3.07-3.18, 1 Cl 3.24
Nd (0.7388, 0.4370, 0.6532)  5 Te 3.11-3.18, 1 Cl 3.31
Te (0.5000, 0.1571, 0.6858)  6 Nd 3.11-3.18
Te (0.0000, 0.6725, 0.6550)  6 Nd 3.13-3.14
Te (0.5000, 0.8429, 0.3142)  6 Nd 3.11-3.18
Te (0.5000, 0.5000, 0.0000)  6 Nd 3.07-3.15
Te (0.0000, 0.3275, 0.3450)  6 Nd 3.13-3.14
Cl (0.0000, 0.0000, 0.0000)  6 Nd 3.24-3.31

Formation energy from raw total energies in meV/atom: -1386
Total moment in μB/f.u.: 0.0

No. 3
Here is an optimized crystal structure of NdTeCl from the Alexandria database. Energies are from GGA-PBE.

abc: 4.3081 4.8022 4.8022
angles: 120.00 90.00 90.00
With the nearest neighbours (Å) after each atom.
Fractional coordinates of all 3 atoms:
Nd (0.1663, 0.0000, 0.0000)  3 Cl 2.77
Cl (0.1670, 0.3333, 0.6667)  3 Nd 2.77
Te (0.6667, 0.6667, 0.3333)  6 Nd 3.51, 6 Cl 3.51

Formation energy from raw total energies in meV/atom: -1663
Total moment in μB/f.u.: 0.0